1.
Entry from Alexandria via LeMat-Bulk: a geometry-optimized Sm5Y2Sc2 structure (PBE-GGA).

Results
Space group   No. 12
Energy above the lowest structure with this stoichiometry   0.0 kJ per mole of atoms
Size of the total moment   0.000 μB/cell
Energy relative to the elements   0.1246 eV/atom
Energy   -48.1 eV/cell
DOS(E_F)   15.8 states/eV per cell

Cell: 10.004 10.004 8.570 Å, 102.66 102.66 19.95°
Atoms (fractional coordinates):
1 Sm 0.000 0.000 0.000
2 Sm 0.219 0.219 0.647
3 Sm 0.337 0.337 0.016
4 Sm 0.663 0.663 0.984
5 Sm 0.781 0.781 0.353
6 Y 0.055 0.055 0.663
7 Y 0.945 0.945 0.337
8 Sc 0.401 0.401 0.650
9 Sc 0.599 0.599 0.350

***

2.
Entry from Alexandria via LeMat-Bulk: a geometry-optimized Sm2YSc structure (PBE-GGA).

Results
Space group   No. 2
Energy above the lowest structure with this stoichiometry   0.3 kJ per mole of atoms
Size of the total moment   0.000 μB/cell
Energy relative to the elements   0.0447 eV/atom
Energy   -44.1 eV/cell
DOS(E_F)   12.5 states/eV per cell

Cell: 6.048 7.008 7.014 Å, 60.87 74.52 74.40°
Atoms (fractional coordinates):
1 Sm 0.249 0.372 0.378
2 Sm 0.249 0.878 0.871
3 Sm 0.751 0.122 0.129
4 Sm 0.751 0.628 0.622
5 Y 0.256 0.373 0.874
6 Y 0.744 0.627 0.126
7 Sc 0.245 0.876 0.377
8 Sc 0.755 0.124 0.623

***

3.
Entry from Alexandria via LeMat-Bulk: a geometry-optimized Sm7YSc2 structure (PBE-GGA).

Results
Space group   No. 10
Energy above the lowest structure with this stoichiometry   0.0 kJ per mole of atoms
Size of the total moment   0.000 μB/cell
Energy relative to the elements   0.0417 eV/atom
Energy   -51.7 eV/cell
DOS(E_F)   15.5 states/eV per cell

Cell: 8.697 3.564 10.579 Å, 90.00 105.40 90.00°
Atoms (fractional coordinates):
1 Sm 0.000 0.000 0.000
2 Sm 0.096 0.500 0.312
3 Sm 0.300 0.500 0.890
4 Sm 0.396 0.000 0.202
5 Sm 0.604 0.000 0.798
6 Sm 0.700 0.500 0.110
7 Sm 0.904 0.500 0.688
8 Y 0.500 0.500 0.500
9 Sc 0.201 0.000 0.599
10 Sc 0.799 0.000 0.401

***

4.
Entry from Alexandria via LeMat-Bulk: a geometry-optimized Sm2YSc structure (PBE-GGA).

Results
Space group   No. 225
Energy above the lowest structure with this stoichiometry   6.6 kJ per mole of atoms
Size of the total moment   0.001 μB/cell
Energy relative to the elements   0.1096 eV/atom
Energy   -87.2 eV/cell
DOS(E_F)   26.0 states/eV per cell

Cell: 7.922 7.922 7.922 Å, 90.00 90.00 90.00°
Atoms (fractional coordinates):
1 Sm 0.250 0.250 0.250
2 Sm 0.250 0.250 0.750
3 Sm 0.250 0.750 0.250
4 Sm 0.250 0.750 0.750
5 Sm 0.750 0.250 0.250
6 Sm 0.750 0.250 0.750
7 Sm 0.750 0.750 0.250
8 Sm 0.750 0.750 0.750
9 Y 0.000 0.000 0.000
10 Y 0.000 0.500 0.500
11 Y 0.500 0.000 0.500
12 Y 0.500 0.500 0.000
13 Sc 0.000 0.000 0.500
14 Sc 0.000 0.500 0.000
15 Sc 0.500 0.000 0.000
16 Sc 0.500 0.500 0.500

***

5.
Entry from Alexandria via LeMat-Bulk: a geometry-optimized SmYSc2 structure (PBE-GGA).

Results
Space group   No. 65
Energy above the lowest structure with this stoichiometry   0.0 kJ per mole of atoms
Size of the total moment   0.000 μB/cell
Energy relative to the elements   0.0543 eV/atom
Energy   -47.3 eV/cell
DOS(E_F)   13.3 states/eV per cell

Cell: 7.006 9.304 3.494 Å, 90.00 90.00 90.00°
Atoms (fractional coordinates):
1 Sm 0.000 0.000 0.000
2 Sm 0.500 0.500 0.000
3 Y 0.000 0.500 0.000
4 Y 0.500 0.000 0.000
5 Sc 0.250 0.250 0.500
6 Sc 0.250 0.750 0.500
7 Sc 0.750 0.250 0.500
8 Sc 0.750 0.750 0.500

***

6.
Entry from Alexandria via LeMat-Bulk: a geometry-optimized Sm5Y2Sc2 structure (PBE-GGA).

Results
Space group   No. 46
Energy above the lowest structure with this stoichiometry   12.6 kJ per mole of atoms
Size of the total moment   0.000 μB/cell
Energy relative to the elements   0.2555 eV/atom
Energy   -93.8 eV/cell
DOS(E_F)   26.7 states/eV per cell

Cell: 10.215 10.215 10.215 Å, 74.06 120.49 140.11°
Atoms (fractional coordinates):
1 Sm 0.171 0.000 0.671
2 Sm 0.248 0.647 0.897
3 Sm 0.248 0.851 0.101
4 Sm 0.250 0.088 0.338
5 Sm 0.250 0.412 0.662
6 Sm 0.328 0.500 0.329
7 Sm 0.749 0.147 0.899
8 Sm 0.749 0.351 0.103
9 Sm 0.750 0.588 0.338
10 Sm 0.750 0.912 0.662
11 Y 0.713 0.499 0.714
12 Y 0.749 0.249 0.500
13 Y 0.749 0.749 0.000
14 Y 0.786 0.999 0.286
15 Sc 0.222 0.329 0.051
16 Sc 0.222 0.671 0.393
17 Sc 0.278 0.171 0.949
18 Sc 0.278 0.829 0.607

***

7.
Entry from Alexandria via LeMat-Bulk: a geometry-optimized Sm4Y4Sc structure (PBE-GGA).

Results
Space group   No. 139
Size of the total moment   0.000 μB/cell
Energy relative to the elements   0.0344 eV/atom
Energy   -50.8 eV/cell
DOS(E_F)   14.9 states/eV per cell

Cell: 7.975 7.975 7.975 Å, 95.71 95.71 143.22°
Atoms (fractional coordinates):
1 Sm 0.000 0.331 0.331
2 Sm 0.000 0.669 0.669
3 Sm 0.331 0.000 0.331
4 Sm 0.669 0.000 0.669
5 Y 0.336 0.336 0.672
6 Y 0.336 0.664 0.000
7 Y 0.664 0.336 0.000
8 Y 0.664 0.664 0.328
9 Sc 0.000 0.000 0.000

***

8.
Entry from Alexandria via LeMat-Bulk: a geometry-optimized SmY5Sc structure (PBE-GGA).

Results
Space group   No. 15
Size of the total moment   0.000 μB/cell
Energy relative to the elements   0.2096 eV/atom
Energy   -83.8 eV/cell
DOS(E_F)   24.1 states/eV per cell

Cell: 6.183 6.183 13.012 Å, 93.91 93.91 64.53°
Atoms (fractional coordinates):
1 Sm 0.235 0.765 0.750
2 Sm 0.765 0.235 0.250
3 Y 0.129 0.203 0.578
4 Y 0.203 0.129 0.078
5 Y 0.205 0.287 0.842
6 Y 0.287 0.205 0.342
7 Y 0.301 0.699 0.250
8 Y 0.699 0.301 0.750
9 Y 0.713 0.795 0.658
10 Y 0.795 0.713 0.158
11 Y 0.797 0.871 0.922
12 Y 0.871 0.797 0.422
13 Sc 0.500 0.500 0.000
14 Sc 0.500 0.500 0.500

***

9.
Entry from Alexandria via LeMat-Bulk: a geometry-optimized Sm14YSc structure (PBE-GGA).

Results
Space group   No. 123
Size of the total moment   0.000 μB/cell
Energy relative to the elements   0.0240 eV/atom
Energy   -78.5 eV/cell
DOS(E_F)   23.6 states/eV per cell

Cell: 7.218 7.218 10.152 Å, 90.00 90.00 90.00°
Atoms (fractional coordinates):
1 Sm 0.000 0.000 0.000
2 Sm 0.000 0.500 0.000
3 Sm 0.000 0.500 0.500
4 Sm 0.248 0.248 0.254
5 Sm 0.248 0.248 0.746
6 Sm 0.248 0.752 0.254
7 Sm 0.248 0.752 0.746
8 Sm 0.500 0.000 0.000
9 Sm 0.500 0.000 0.500
10 Sm 0.500 0.500 0.000
11 Sm 0.752 0.248 0.254
12 Sm 0.752 0.248 0.746
13 Sm 0.752 0.752 0.254
14 Sm 0.752 0.752 0.746
15 Y 0.500 0.500 0.500
16 Sc 0.000 0.000 0.500

***

10.
Entry from Alexandria via LeMat-Bulk: a geometry-optimized Sm12Y3Sc structure (PBE-GGA).

Results
Space group   No. 123
Size of the total moment   0.000 μB/cell
Energy relative to the elements   0.0231 eV/atom
Energy   -82.0 eV/cell
DOS(E_F)   23.9 states/eV per cell

Cell: 5.086 5.086 20.300 Å, 90.00 90.00 90.00°
Atoms (fractional coordinates):
1 Sm 0.000 0.000 0.000
2 Sm 0.000 0.000 0.247
3 Sm 0.000 0.000 0.500
4 Sm 0.000 0.000 0.753
5 Sm 0.000 0.500 0.121
6 Sm 0.000 0.500 0.373
7 Sm 0.000 0.500 0.627
8 Sm 0.000 0.500 0.879
9 Sm 0.500 0.000 0.121
10 Sm 0.500 0.000 0.373
11 Sm 0.500 0.000 0.627
12 Sm 0.500 0.000 0.879
13 Y 0.500 0.500 0.247
14 Y 0.500 0.500 0.500
15 Y 0.500 0.500 0.753
16 Sc 0.500 0.500 0.000

***

11.
Entry from Alexandria via LeMat-Bulk: a geometry-optimized Sm2YSc structure (PBE-GGA).

Results
Space group   No. 123
Energy above the lowest structure with this stoichiometry   0.0 kJ per mole of atoms
Size of the total moment   0.000 μB/cell
Energy relative to the elements   0.0413 eV/atom
Energy   -22.1 eV/cell
DOS(E_F)   6.4 states/eV per cell

Cell: 3.574 3.574 9.686 Å, 90.00 90.00 90.00°
Atoms (fractional coordinates):
1 Sm 0.000 0.000 0.237
2 Sm 0.000 0.000 0.763
3 Y 0.500 0.500 0.500
4 Sc 0.500 0.500 0.000

***

12.
Entry from Alexandria via LeMat-Bulk: a geometry-optimized Sm4Y15Sc structure (PBE-GGA).

Results
Space group   No. 123
Size of the total moment   0.000 μB/cell
Energy relative to the elements   0.0274 eV/atom
Energy   -121.6 eV/cell
DOS(E_F)   29.6 states/eV per cell

Cell: 5.052 5.052 25.188 Å, 90.00 90.00 90.00°
Atoms (fractional coordinates):
1 Sm 0.000 0.000 0.101
2 Sm 0.000 0.000 0.302
3 Sm 0.000 0.000 0.698
4 Sm 0.000 0.000 0.899
5 Y 0.000 0.500 0.000
6 Y 0.000 0.500 0.202
7 Y 0.000 0.500 0.404
8 Y 0.000 0.500 0.596
9 Y 0.000 0.500 0.798
10 Y 0.500 0.000 0.000
11 Y 0.500 0.000 0.202
12 Y 0.500 0.000 0.404
13 Y 0.500 0.000 0.596
14 Y 0.500 0.000 0.798
15 Y 0.500 0.500 0.101
16 Y 0.500 0.500 0.303
17 Y 0.500 0.500 0.500
18 Y 0.500 0.500 0.697
19 Y 0.500 0.500 0.899
20 Sc 0.000 0.000 0.500